# 1
Material: MgSc3Rh4
Method: DFT, PBE-GGA
State: optimized geometry

DOS(E_F) in states/eV per cell: 3.456
Formation energy in eV/atom: -0.94

Unit cell a=7.8361 b=7.8361 c=7.8361 alpha=33.56 beta=33.56 gamma=33.56
Positions (direct):
Mg 0.0000 0.0000 0.0000
Sc 0.2534 0.2534 0.2534
Sc 0.5000 0.5000 0.5000
Sc 0.7466 0.7466 0.7466
Rh 0.1256 0.1256 0.1256
Rh 0.3762 0.3762 0.3762
Rh 0.6238 0.6238 0.6238
Rh 0.8744 0.8744 0.8744

---

# 2
Material: BePF3
Method: DFT, PBE-GGA
State: optimized geometry

DOS(E_F) in states/eV per cell: 2.545
Raw formation energy in eV/atom: -1.318
Distance to the lowest polymorph of the same formula in meV per atom: 0.0

Unit cell a=3.7028 b=3.7028 c=3.7028 alpha=90.00 beta=90.00 gamma=90.00
Positions (direct):
Be 0.0000 0.0000 0.0000
P 0.5000 0.5000 0.5000
F 0.0000 0.0000 0.5000
F 0.0000 0.5000 0.0000
F 0.5000 0.0000 0.0000

---

# 3
Material: CaCu2Au
Method: DFT, PBE-GGA
State: optimized geometry

DOS(E_F) in states/eV per cell: 1.347
Distance to the lowest polymorph of the same formula in meV per atom: 93.9
Formation energy in eV/atom: -0.18

Unit cell a=3.7212 b=4.4921 c=4.9509 alpha=90.00 beta=90.00 gamma=90.00
Positions (direct):
Ca 0.0000 0.0000 0.0000
Cu 0.5000 0.5000 0.2433
Cu 0.5000 0.5000 0.7567
Au 0.5000 0.0000 0.5000

---

# 4
Material: Na2ThZn9
Method: DFT, PBE-GGA
State: optimized geometry

DOS(E_F) in states/eV per cell: 6.812
Formation energy in eV/atom: -0.09

Unit cell a=9.1815 b=9.1815 c=9.1815 alpha=34.44 beta=34.44 gamma=34.44
Positions (direct):
Na 0.1441 0.1441 0.1441
Na 0.8559 0.8559 0.8559
Th 0.0000 0.0000 0.0000
Zn 0.0789 0.5845 0.5845
Zn 0.3343 0.3343 0.3343
Zn 0.4155 0.4155 0.9211
Zn 0.4155 0.9211 0.4155
Zn 0.5000 0.5000 0.5000
Zn 0.5845 0.0789 0.5845
Zn 0.5845 0.5845 0.0789
Zn 0.6657 0.6657 0.6657
Zn 0.9211 0.4155 0.4155

---

# 5
Material: Er2Ta2InRh5
Method: DFT, PBE-GGA
State: optimized geometry

DOS(E_F) in states/eV per cell: 15.900
Formation energy in eV/atom: -0.42

Unit cell a=10.1102 b=10.1102 c=3.7082 alpha=90.00 beta=90.00 gamma=90.00
Positions (direct):
Er 0.1761 0.3239 0.0000
Er 0.3239 0.8239 0.0000
Er 0.6761 0.1761 0.0000
Er 0.8239 0.6761 0.0000
Ta 0.1234 0.6234 0.0000
Ta 0.3766 0.1234 0.0000
Ta 0.6234 0.8766 0.0000
Ta 0.8766 0.3766 0.0000
In 0.0000 0.0000 0.0000
In 0.5000 0.5000 0.0000
Rh 0.0000 0.5000 0.5000
Rh 0.0625 0.7906 0.5000
Rh 0.2094 0.0625 0.5000
Rh 0.2906 0.5625 0.5000
Rh 0.4375 0.2906 0.5000
Rh 0.5000 0.0000 0.5000
Rh 0.5625 0.7094 0.5000
Rh 0.7094 0.4375 0.5000
Rh 0.7906 0.9375 0.5000
Rh 0.9375 0.2094 0.5000

---

# 6
Material: Tc3HgCl
Method: DFT, PBE-GGA
State: optimized geometry

DOS(E_F) in states/eV per cell: 12.168
Raw formation energy in eV/atom: 2.363
Distance to the lowest polymorph of the same formula in meV per atom: 1275.9

Unit cell a=5.2450 b=5.2450 c=5.2450 alpha=90.00 beta=90.00 gamma=90.00
Positions (direct):
Tc 0.0000 0.0000 0.5000
Tc 0.0000 0.5000 0.0000
Tc 0.5000 0.0000 0.0000
Hg 0.0000 0.0000 0.0000
Cl 0.5000 0.5000 0.5000

---

Question: DOS(E_F) of number 2 (BePF3)?
Answer: 2.545 states/eV per cell